Entry 1:
Tm5Ge5Ir2 | PBE-GGA | optimized geometry

a b c (Å): 4.2116 7.7911 8.3153
angles (deg): 89.51 75.33 74.32
Atoms (fractional coordinates):
1 Tm 0.0000 0.5000 0.5000
2 Tm 0.6997 0.6808 0.9198
3 Tm 0.3683 0.9404 0.3229
4 Tm 0.6317 0.0596 0.6771
5 Tm 0.3003 0.3192 0.0802
6 Ge 0.7206 0.2201 0.3387
7 Ge 0.9567 0.2886 0.7980
8 Ge 0.0433 0.7114 0.2020
9 Ge 0.2794 0.7799 0.6613
10 Ge 0.0000 0.0000 0.0000
11 Ir 0.3916 0.4633 0.7534
12 Ir 0.6084 0.5367 0.2466

Summary:
* DOS(E_F): 7.12 states/eV per cell
* calculated total energy: -72.705 eV/cell
* total magnetization: 0.000 μB per atom
* crystal system: monoclinic


Entry 2:
TlGaHg2H | PBE-GGA | optimized geometry

a b c (Å): 5.6644 5.6644 3.5164
angles (deg): 90.00 90.00 90.00
Atoms (fractional coordinates):
1 H 0.0000 0.0000 0.5000
2 Tl 0.5000 0.5000 0.5000
3 Hg 0.0000 0.5000 0.0000
4 Hg 0.5000 0.0000 0.0000
5 Ga 0.0000 0.0000 0.0000

Summary:
* DOS(E_F): 2.43 states/eV per cell
* calculated total energy: -8.747 eV/cell
* total magnetization: 0.000 μB per atom
* crystal system: tetragonal


Entry 3:
Li3Sm2Cu12Ni | PBE-GGA | optimized geometry

a b c (Å): 11.6894 11.6894 11.6894
angles (deg): 26.17 26.17 26.17
Atoms (fractional coordinates):
1 Li 0.5000 0.0000 0.0000
2 Li 0.0000 0.5000 0.0000
3 Li 0.0000 0.0000 0.5000
4 Sm 0.6450 0.6450 0.6450
5 Sm 0.3550 0.3550 0.3550
6 Cu 0.4000 0.4000 0.8652
7 Cu 0.8956 0.8956 0.3827
8 Cu 0.3827 0.8956 0.8956
9 Cu 0.8652 0.4000 0.4000
10 Cu 0.8956 0.3827 0.8956
11 Cu 0.4000 0.8652 0.4000
12 Cu 0.6000 0.6000 0.1348
13 Cu 0.1044 0.1044 0.6173
14 Cu 0.6173 0.1044 0.1044
15 Cu 0.1348 0.6000 0.6000
16 Cu 0.1044 0.6173 0.1044
17 Cu 0.6000 0.1348 0.6000
18 Ni 0.0000 0.0000 0.0000

Summary:
* DOS(E_F): 10.62 states/eV per cell
* calculated total energy: -68.273 eV/cell
* total magnetization: 0.000 μB per atom
* crystal system: trigonal


Entry 4:
AsRh2W | PBE-GGA | optimized geometry

a b c (Å): 2.9479 2.9480 6.9128
angles (deg): 90.00 90.00 90.00
Atoms (fractional coordinates):
1 As 0.5000 0.5000 0.7615
2 Rh 0.0000 0.0000 0.9664
3 Rh 0.5000 0.5000 0.2669
4 W 0.0000 0.0000 0.5051

Summary:
* DOS(E_F): 3.40 states/eV per cell
* calculated total energy: -32.487 eV/cell
* total magnetization: 0.000 μB per atom
* crystal system: tetragonal


Entry 5:
Cd2Hg2Cl | PBE-GGA | optimized geometry

a b c (Å): 4.4878 4.4878 7.5603
angles (deg): 72.73 72.73 90.00
Atoms (fractional coordinates):
1 Cl 0.0000 0.0000 0.0000
2 Hg 0.3997 0.3997 0.2007
3 Hg 0.6003 0.6003 0.7993
4 Cd 0.7500 0.2500 0.5000
5 Cd 0.2500 0.7500 0.5000

Summary:
* DOS(E_F): 2.24 states/eV per cell
* calculated total energy: -4.750 eV/cell
* ΔE_f (raw): -94 meV/atom
* polymorph energy (0 for the lowest one): 84.2 meV/atom
* total magnetization: 0.000 μB per atom
* crystal system: tetragonal


Entry 6:
SbTePt2 | PBE-GGA | optimized geometry

a b c (Å): 3.6184 3.5524 7.2079
angles (deg): 60.46 90.00 90.00
Atoms (fractional coordinates):
1 Pt 0.0000 0.9896 0.0101
2 Pt 0.0000 0.5104 0.4899
3 Sb 0.5000 0.2500 0.2500
4 Te 0.5000 0.7500 0.7500

Summary:
* DOS(E_F): 1.66 states/eV per cell
* calculated total energy: -19.339 eV/cell
* ΔE_f (raw): 2 meV/atom
* total magnetization: 0.000 μB per atom
* crystal system: orthorhombic


Entry 7:
AgIBr3 | PBE-GGA | optimized geometry

a b c (Å): 6.1173 8.9539 8.4696
angles (deg): 96.96 69.49 110.05
Atoms (fractional coordinates):
1 Ag 0.2424 0.7658 0.3444
2 Ag 0.1684 0.6195 0.8446
3 I 0.8321 0.9449 0.8444
4 I 0.5791 0.4405 0.3444
5 Br 0.0877 0.4576 0.3443
6 Br 0.9857 0.9571 0.5022
7 Br 0.4256 0.4285 0.6866
8 Br 0.6905 0.9573 0.1867
9 Br 0.3235 0.9278 0.8444
10 Br 0.7205 0.4281 0.0020

Summary:
* DOS(E_F): 1.72 states/eV per cell
* calculated total energy: -20.067 eV/cell
* ΔE_f (raw): -123 meV/atom
* polymorph energy (0 for the lowest one): 14.4 meV/atom
* total magnetization: 0.000 μB per atom
* crystal system: triclinic


Entry 8:
Ce4SnPt | PBE-GGA | optimized geometry

a b c (Å): 5.3752 6.3046 10.5429
angles (deg): 90.00 104.77 90.00
Atoms (fractional coordinates):
1 Ce 0.9022 0.3222 0.8043
2 Ce 0.0978 0.8222 0.1957
3 Ce 0.4460 0.8222 0.8920
4 Ce 0.5540 0.3222 0.1080
5 Ce 0.7141 0.5444 0.4282
6 Ce 0.2859 0.0444 0.5718
7 Ce 0.7141 0.1001 0.4282
8 Ce 0.2859 0.6001 0.5718
9 Sn 0.8530 0.8222 0.7059
10 Sn 0.1470 0.3222 0.2941
11 Pt 0.5879 0.8222 0.1757
12 Pt 0.4121 0.3222 0.8243

Summary:
* DOS(E_F): 39.56 states/eV per cell
* calculated total energy: -73.714 eV/cell
* total magnetization: 0.572 μB per atom
* crystal system: orthorhombic


Among the records above, which one has the lowest DOS(E_F)?
SbTePt2


Repeat the sixth record exactly.
SbTePt2 | PBE-GGA | optimized geometry

a b c (Å): 3.6184 3.5524 7.2079
angles (deg): 60.46 90.00 90.00
Atoms (fractional coordinates):
1 Pt 0.0000 0.9896 0.0101
2 Pt 0.0000 0.5104 0.4899
3 Sb 0.5000 0.2500 0.2500
4 Te 0.5000 0.7500 0.7500

Summary:
* DOS(E_F): 1.66 states/eV per cell
* calculated total energy: -19.339 eV/cell
* ΔE_f (raw): 2 meV/atom
* total magnetization: 0.000 μB per atom
* crystal system: orthorhombic


DOS(E_F) of number 2 (TlGaHg2H)?
2.43 states/eV per cell